No. 1
Entry from the Alexandria database: an optimized crystal structure of LaPr5DyEr2 (GGA-PBE).

Cell lengths 10.660, 10.660, 10.702 Å; angles 90.00, 90.00, 148.67 degrees
Sites, in units of the cell vectors:
1 La 0.086 0.914 0.500
2 La 0.914 0.086 0.000
3 Pr 0.021 0.979 0.791
4 Pr 0.115 0.885 0.074
5 Pr 0.204 0.796 0.756
6 Pr 0.221 0.779 0.365
7 Pr 0.484 0.516 0.072
8 Pr 0.516 0.484 0.572
9 Pr 0.779 0.221 0.865
10 Pr 0.796 0.204 0.256
11 Pr 0.885 0.115 0.574
12 Pr 0.979 0.021 0.291
13 Dy 0.302 0.698 0.062
14 Dy 0.698 0.302 0.562
15 Er 0.384 0.616 0.368
16 Er 0.386 0.614 0.784
17 Er 0.614 0.386 0.284
18 Er 0.616 0.384 0.868

Calculated values
As for the total DFT energy (no corrections): -4.58 eV/atom. Its mass density is 7.039 g/cm3. The calculation puts the formation energy at 0.15 eV per atom.

***

No. 2
Entry from the Alexandria database: an optimized crystal structure of HPbF3 (GGA-PBE).

Cell lengths 3.788, 3.788, 3.788 Å; angles 90.00, 90.00, 90.00 degrees
Sites, in units of the cell vectors:
1 H 0.000 0.000 0.000
2 Pb 0.500 0.500 0.500
3 F 0.000 0.000 0.500
4 F 0.000 0.500 0.000
5 F 0.500 0.000 0.000

Calculated values
As for the total DFT energy (no corrections): -4.01 eV/atom. Its mass density is 8.103 g/cm3.